No. 1
Entry from Alexandria: a geometry-optimized GaB2P structure (PBE).

Properties
ΔH_f (0 K) (eV/atom): 1.379
Excess energy over the best structure of this formula in the dataset (meV per atom): 1096
Total magnetization (μB/f.u.): 0.000

a b c (Å): 3.990 3.990 3.990
angles (deg): 60.00 60.00 60.00
Positions (direct):
P: 0.000 0.000 0.000
B: 0.750 0.750 0.750
B: 0.250 0.250 0.250
Ga: 0.500 0.500 0.500

No. 2
Entry from Alexandria: a geometry-optimized KSb2Ir2 structure (PBE).

Properties
Uncorrected formation energy (eV per atom): 0.127
Total magnetization (μB/f.u.): 0.000

a b c (Å): 8.317 8.317 3.085
angles (deg): 90.00 90.00 90.00
Positions (direct):
Ir: 0.871 0.371 0.500
Ir: 0.129 0.629 0.500
Ir: 0.371 0.129 0.500
Ir: 0.629 0.871 0.500
Sb: 0.351 0.851 0.000
Sb: 0.851 0.649 0.000
Sb: 0.149 0.351 0.000
Sb: 0.649 0.149 0.000
K: 0.500 0.500 0.000
K: 0.000 0.000 0.000